Computed, not measured: a geometry-optimized Ba2InGaO5 structure at the PBE-GGA level of DFT.

Summary:
Theoretical density   5.99 g/cm³
Size of the total moment   0.0 μB per formula unit
Formation energy without anion corrections   -2.113 eV/atom

Cell lengths 3.4637, 15.3454, 11.2575 Å; angles 90.00, 90.00, 90.00 degrees
Space group Cmc2_1 (No. 36)
Symmetry-distinct sites (fractional):
Ba (0.0000, 0.1105, 0.0000)
Ba (0.0000, 0.1340, 0.6415)
In (0.0000, 0.2111, 0.3521)
Ga (0.0000, 0.4421, 0.7623)
O (0.0000, 0.0524, 0.3434)
O (0.0000, 0.2904, 0.9772)
O (0.0000, 0.3208, 0.7224)
O (0.0000, 0.3484, 0.3276)
O (0.0000, 0.5003, 0.1202)


Computed, not measured: a geometry-optimized BaInGa2Os structure at the PBE-GGA level of DFT.

Summary:
Theoretical density   7.68 g/cm³
Size of the total moment   0.0 μB per formula unit
ΔE_f   -0.29 eV/atom

Cell lengths 4.9135, 4.9135, 5.2122 Å; angles 90.00, 90.00, 90.00 degrees
Space group P4/mmm (No. 123)
Symmetry-distinct sites (fractional):
Ba (0.0000, 0.0000, 0.0000)
In (0.5000, 0.5000, 0.0000)
Ga (0.0000, 0.5000, 0.5000)
Os (0.5000, 0.5000, 0.5000)


Computed, not measured: a geometry-optimized Ba2InGaPb6 structure at the PBE-GGA level of DFT.

Summary:
Theoretical density   7.80 g/cm³
Size of the total moment   0.0 μB per formula unit
ΔE_f   -0.16 eV/atom

Cell lengths 7.7160, 7.7160, 42.1640 Å; angles 90.00, 90.00, 120.00 degrees
Space group R-3m (No. 166, hexagonal axes)
Symmetry-distinct sites (fractional):
Ba (0.0000, 0.0000, 0.1198)
Ba (0.0000, 0.0000, 0.2963)
In (0.0000, 0.0000, 0.0000)
In (0.0000, 0.0000, 0.5000)
Ga (0.0000, 0.0000, 0.4302)
Pb (0.0482, 0.5241, 0.2895)
Pb (0.0610, 0.5305, 0.8758)


Computed, not measured: a geometry-optimized BaInGaPb structure at the PBE-GGA level of DFT.

Summary:
Theoretical density   7.02 g/cm³
Size of the total moment   0.0 μB per formula unit
ΔE_f   -0.24 eV/atom

Cell lengths 7.9396, 7.9396, 7.9396 Å; angles 90.00, 90.00, 90.00 degrees
Space group F-43m (No. 216)
Symmetry-distinct sites (fractional):
Ba (0.0000, 0.0000, 0.0000)
In (0.2500, 0.2500, 0.2500)
Ga (0.2500, 0.2500, 0.7500)
Pb (0.0000, 0.0000, 0.5000)


Computed, not measured: a geometry-optimized Ba2In4Ga3Pd structure at the PBE-GGA level of DFT.

Summary:
Theoretical density   6.55 g/cm³
Size of the total moment   0.0 μB per formula unit
ΔE_f   -0.43 eV/atom

Cell lengths 4.8091, 4.8091, 11.5011 Å; angles 90.00, 90.00, 90.00 degrees
Space group P-4m2 (No. 115)
Symmetry-distinct sites (fractional):
Ba (0.0000, 0.5000, 0.2426)
In (0.0000, 0.0000, 0.5000)
In (0.0000, 0.5000, 0.8810)
In (0.5000, 0.5000, 0.5000)
Ga (0.0000, 0.0000, 0.0000)
Ga (0.0000, 0.5000, 0.6396)
Pd (0.5000, 0.5000, 0.0000)


Computed, not measured: a geometry-optimized Ba2InGaPd6 structure at the PBE-GGA level of DFT.

Summary:
Theoretical density   7.91 g/cm³
Size of the total moment   0.0 μB per formula unit
ΔE_f   -0.56 eV/atom

Cell lengths 6.8104, 6.8178, 6.9316 Å; angles 60.92, 60.68, 60.14 degrees
Space group P-1 (No. 2)
Symmetry-distinct sites (fractional):
Ba (0.2045, 0.2034, 0.3884)
In (0.5000, 0.5000, 0.5000)
Ga (0.0000, 0.0000, 0.0000)
Pd (0.1705, 0.6321, 0.8844)
Pd (0.3126, 0.1711, 0.8820)
Pd (0.3655, 0.6886, 0.1175)


Computed, not measured: a geometry-optimized Ba2In3GaPd4 structure at the PBE-GGA level of DFT.

Summary:
Theoretical density   7.53 g/cm³
Size of the total moment   0.0 μB per formula unit
ΔE_f   -0.59 eV/atom

Cell lengths 4.8133, 4.8133, 10.6150 Å; angles 90.00, 90.00, 90.00 degrees
Space group P-4m2 (No. 115)
Symmetry-distinct sites (fractional):
Ba (0.0000, 0.5000, 0.2433)
In (0.0000, 0.5000, 0.8773)
In (0.5000, 0.5000, 0.5000)
Ga (0.0000, 0.0000, 0.5000)
Pd (0.0000, 0.0000, 0.0000)
Pd (0.0000, 0.5000, 0.6168)
Pd (0.5000, 0.5000, 0.0000)


Computed, not measured: a geometry-optimized Ba2InGa4Pd3 structure at the PBE-GGA level of DFT.

Summary:
Theoretical density   7.18 g/cm³
Size of the total moment   0.0 μB per formula unit
ΔE_f   -0.58 eV/atom

Cell lengths 4.5208, 4.5208, 11.1798 Å; angles 90.00, 90.00, 90.00 degrees
Space group P-4m2 (No. 115)
Symmetry-distinct sites (fractional):
Ba (0.0000, 0.5000, 0.2430)
In (0.0000, 0.0000, 0.5000)
Ga (0.0000, 0.0000, 0.0000)
Ga (0.0000, 0.5000, 0.6404)
Ga (0.5000, 0.5000, 0.0000)
Pd (0.0000, 0.5000, 0.8817)
Pd (0.5000, 0.5000, 0.5000)


Q: Look up the theoretical density of the first one.
A: 5.99 g/cm³